The following is a PBE calculation of KLuFeTe3 after structural relaxation, from OQMD via LeMat-Bulk.

Lattice parameters (Å, degrees): 9.750 4.229 10.154 90.00 109.25 90.00
Space group P2_1/m (No. 11)
Inequivalent atoms, fractional coordinates:
K 0.206 0.250 0.239 (multiplicity 2)
Lu 0.331 0.750 0.858 (multiplicity 2)
Fe 0.066 0.250 0.581 (multiplicity 2)
Te 0.107 0.250 0.853 (multiplicity 2)
Te 0.218 0.750 0.536 (multiplicity 2)
Te 0.460 0.750 0.170 (multiplicity 2)

Results
The volume comes out at 32.9 A^3/atom. The mass density is 5.48 Mg/m³. The value obtained for the raw total energy is -4.76 eV per atom.